## AgGeAu4 (PBE)

Data for AgGeAu4 after structural relaxation.

Summary:
D(E_F) = 1.674 states/eV/f.u.
crystal system = monoclinic
ΔE_f = 142 meV per atom
relative energy among the computed polymorphs = 0.125 eV per atom

a b c (Å): 13.596 2.880 9.347
angles (deg): 90.00 133.01 90.00
Space group C2/m (No. 12)
Symmetry-distinct sites (fractional):
Ag 0.000 0.000 0.000 (multiplicity 2)
Ge 0.000 0.000 0.500 (multiplicity 2)
Au 0.044 0.500 0.782 (multiplicity 4)
Au 0.246 0.500 0.197 (multiplicity 4)

***

## LaTcRh3 (PBE)

Data for LaTcRh3 after structural relaxation.

Summary:
D(E_F) = 4.680 states/eV/f.u.
crystal system = cubic
ΔE_f = 237 meV per atom
relative energy among the computed polymorphs = 0.000 eV per atom

a b c (Å): 4.744 4.744 4.744
angles (deg): 90.00 90.00 90.00
Space group Pm-3m (No. 221)
Symmetry-distinct sites (fractional):
La 0.000 0.000 0.000 (multiplicity 1)
Tc 0.500 0.500 0.500 (multiplicity 1)
Rh 0.000 0.500 0.500 (multiplicity 3)